Entry 1:
This record from Alexandria describes a geometry-optimized Ba6P2PbCl3 structure. The functional is PBE.

abc: 11.346 11.346 9.564
angles: 101.40 101.40 23.37
Sites, in units of the cell vectors:
Ba  0.027  0.027  0.279
Ba  0.317  0.317  0.417
Ba  0.335  0.335  0.895
Ba  0.665  0.665  0.105
Ba  0.683  0.683  0.583
Ba  0.973  0.973  0.721
P  0.171  0.171  0.345
P  0.829  0.829  0.655
Pb  0.500  0.500  0.000
Cl  0.185  0.185  0.846
Cl  0.500  0.500  0.500
Cl  0.815  0.815  0.154

Results
The value obtained for the total DFT energy (no corrections) is -4.1108 eV per atom. The value obtained for the uncorrected formation energy is -1477 meV/atom. As for the total magnetic moment: 0.00 μB/f.u.


Entry 2:
This record from Alexandria describes a geometry-optimized Nd3PdI3 structure. The functional is PBE.

abc: 9.421 4.201 12.728
angles: 90.00 90.70 90.00
Sites, in units of the cell vectors:
Nd  0.091  0.250  0.385
Nd  0.121  0.250  0.852
Nd  0.322  0.750  0.624
Nd  0.678  0.250  0.376
Nd  0.879  0.750  0.148
Nd  0.909  0.750  0.615
Pd  0.118  0.250  0.624
Pd  0.882  0.750  0.376
I  0.140  0.250  0.116
I  0.380  0.750  0.876
I  0.385  0.750  0.369
I  0.615  0.250  0.631
I  0.620  0.250  0.124
I  0.860  0.750  0.884

Results
The value obtained for the total DFT energy (no corrections) is -4.5087 eV per atom. The value obtained for the uncorrected formation energy is -1059 meV/atom. As for the total magnetic moment: 0.00 μB/f.u.


Entry 3:
This record from Alexandria describes a geometry-optimized PmZn11Cu structure. The functional is PBE.

abc: 6.806 6.806 6.801
angles: 98.30 98.30 135.10
Sites, in units of the cell vectors:
Pm  0.000  0.000  0.000
Zn  0.000  0.000  0.500
Zn  0.000  0.500  0.000
Zn  0.013  0.365  0.357
Zn  0.284  0.502  0.777
Zn  0.365  0.013  0.357
Zn  0.498  0.716  0.223
Zn  0.500  0.000  0.000
Zn  0.502  0.284  0.777
Zn  0.635  0.987  0.643
Zn  0.716  0.498  0.223
Zn  0.987  0.635  0.643
Cu  0.500  0.500  0.500

Results
The value obtained for the total DFT energy (no corrections) is -1.9538 eV per atom. For the energy of formation from the pure elements, the calculation gives -0.20 eV/atom. As for the total magnetic moment: 0.00 μB/f.u.


Entry 4:
This record from Alexandria describes a geometry-optimized Sr2Ca6Au structure. The functional is PBE.

abc: 8.113 8.113 8.113
angles: 60.00 60.00 60.00
Sites, in units of the cell vectors:
Sr  0.250  0.250  0.250
Sr  0.750  0.750  0.750
Ca  0.244  0.244  0.756
Ca  0.244  0.756  0.244
Ca  0.244  0.756  0.756
Ca  0.756  0.244  0.244
Ca  0.756  0.244  0.756
Ca  0.756  0.756  0.244
Au  0.500  0.500  0.500

Results
The value obtained for the total DFT energy (no corrections) is -2.2605 eV per atom. For the energy of formation from the pure elements, the calculation gives -0.19 eV/atom. As for the total magnetic moment: 0.00 μB/f.u.


Entry 5:
This record from Alexandria describes a geometry-optimized PrHo3Ag4 structure. The functional is PBE.

abc: 5.171 5.171 7.356
angles: 90.00 90.00 90.00
Sites, in units of the cell vectors:
Pr  0.000  0.000  0.000
Ho  0.000  0.000  0.500
Ho  0.500  0.500  0.000
Ho  0.500  0.500  0.500
Ag  0.000  0.500  0.263
Ag  0.000  0.500  0.737
Ag  0.500  0.000  0.263
Ag  0.500  0.000  0.737

Results
The value obtained for the total DFT energy (no corrections) is -4.0386 eV per atom. For the energy of formation from the pure elements, the calculation gives -0.30 eV/atom. As for the total magnetic moment: 0.00 μB/f.u.


Entry 6:
This record from Alexandria describes a geometry-optimized Sm3CdGa structure. The functional is PBE.

abc: 10.387 10.387 5.264
angles: 90.00 90.00 150.64
Sites, in units of the cell vectors:
Sm  0.064  0.936  0.750
Sm  0.250  0.750  0.750
Sm  0.436  0.564  0.750
Sm  0.564  0.436  0.250
Sm  0.750  0.250  0.250
Sm  0.936  0.064  0.250
Cd  0.156  0.844  0.250
Cd  0.844  0.156  0.750
Ga  0.343  0.657  0.250
Ga  0.657  0.343  0.750

Results
The value obtained for the total DFT energy (no corrections) is -3.9410 eV per atom. For the energy of formation from the pure elements, the calculation gives -0.32 eV/atom. As for the total magnetic moment: 0.76 μB/f.u.


Entry 7:
This record from Alexandria describes a geometry-optimized NbRuCl2 structure. The functional is PBE.

abc: 5.485 5.485 10.945
angles: 90.00 90.00 90.00
Sites, in units of the cell vectors:
Nb  0.000  0.000  0.000
Nb  0.000  0.500  0.250
Nb  0.500  0.000  0.750
Nb  0.500  0.500  0.500
Ru  0.000  0.000  0.500
Ru  0.000  0.500  0.750
Ru  0.500  0.000  0.250
Ru  0.500  0.500  0.000
Cl  0.240  0.250  0.625
Cl  0.250  0.740  0.875
Cl  0.250  0.760  0.375
Cl  0.260  0.250  0.125
Cl  0.740  0.750  0.125
Cl  0.750  0.240  0.375
Cl  0.750  0.260  0.875
Cl  0.760  0.750  0.625

Results
The value obtained for the total DFT energy (no corrections) is -5.1490 eV per atom. The value obtained for the uncorrected formation energy is 611 meV/atom. The calculation puts the distance to the lowest polymorph of the same formula at 0.611 eV per atom. As for the total magnetic moment: 0.43 μB/f.u.


Entry 8:
This record from Alexandria describes a geometry-optimized Cs2K6RbH structure. The functional is PBE.

abc: 9.887 9.887 10.431
angles: 118.26 118.26 89.96
Sites, in units of the cell vectors:
Cs  0.250  0.750  0.000
Cs  0.750  0.250  0.000
K  0.197  0.197  0.495
K  0.197  0.797  0.494
K  0.204  0.204  0.909
K  0.756  0.756  0.012
K  0.797  0.197  0.494
K  0.797  0.797  0.495
Rb  0.475  0.475  0.449
H  0.032  0.032  0.565

Results
The value obtained for the total DFT energy (no corrections) is -1.2008 eV per atom. As for the total magnetic moment: 0.00 μB/f.u.


Entry 9:
This record from Alexandria describes a geometry-optimized ScCdCu2 structure. The functional is PBE.

abc: 6.412 6.412 6.412
angles: 90.00 90.00 90.00
Sites, in units of the cell vectors:
Sc  0.000  0.000  0.000
Sc  0.000  0.500  0.500
Sc  0.500  0.000  0.500
Sc  0.500  0.500  0.000
Cd  0.000  0.000  0.500
Cd  0.000  0.500  0.000
Cd  0.500  0.000  0.000
Cd  0.500  0.500  0.500
Cu  0.250  0.250  0.250
Cu  0.250  0.250  0.750
Cu  0.250  0.750  0.250
Cu  0.250  0.750  0.750
Cu  0.750  0.250  0.250
Cu  0.750  0.250  0.750
Cu  0.750  0.750  0.250
Cu  0.750  0.750  0.750

Results
The value obtained for the total DFT energy (no corrections) is -4.0614 eV per atom. For the energy of formation from the pure elements, the calculation gives -0.20 eV/atom. As for the total magnetic moment: 0.00 μB/f.u.


Entry 10:
This record from Alexandria describes a geometry-optimized AsN2ClF structure. The functional is PBE.

abc: 4.042 4.042 4.040
angles: 90.00 90.00 90.00
Sites, in units of the cell vectors:
As  0.000  0.000  0.000
N  0.000  0.500  0.000
N  0.500  0.000  0.000
Cl  0.500  0.500  0.500
F  0.000  0.000  0.500

Results
The value obtained for the total DFT energy (no corrections) is -3.9719 eV per atom. The value obtained for the uncorrected formation energy is 1032 meV/atom. The calculation puts the distance to the lowest polymorph of the same formula at 0.000 eV per atom. As for the total magnetic moment: 3.52 μB/f.u.


Entry 11:
This record from Alexandria describes a geometry-optimized Y2Ho3Er2 structure. The functional is PBE.

abc: 15.426 3.525 8.660
angles: 90.00 112.05 90.00
Sites, in units of the cell vectors:
Y  0.072  0.000  0.214
Y  0.428  0.500  0.786
Y  0.572  0.500  0.214
Y  0.928  0.000  0.786
Ho  0.000  0.500  0.500
Ho  0.214  0.000  0.643
Ho  0.286  0.500  0.357
Ho  0.500  0.000  0.500
Ho  0.714  0.500  0.643
Ho  0.786  0.000  0.357
Er  0.144  0.500  0.928
Er  0.356  0.000  0.072
Er  0.644  0.000  0.928
Er  0.856  0.500  0.072

Results
The value obtained for the total DFT energy (no corrections) is -5.0889 eV per atom. For the energy of formation from the pure elements, the calculation gives 0.02 eV/atom. As for the total magnetic moment: 0.00 μB/f.u.


Entry 12:
This record from Alexandria describes a geometry-optimized ReP2Se structure. The functional is PBE.

abc: 4.063 4.063 7.159
angles: 90.00 90.00 90.00
Sites, in units of the cell vectors:
Re  0.000  0.000  0.000
Re  0.500  0.500  0.500
P  0.000  0.500  0.250
P  0.000  0.500  0.750
P  0.500  0.000  0.250
P  0.500  0.000  0.750
Se  0.000  0.000  0.500
Se  0.500  0.500  0.000

Results
The value obtained for the total DFT energy (no corrections) is -6.0269 eV per atom. The value obtained for the uncorrected formation energy is 661 meV/atom. As for the total magnetic moment: 0.00 μB/f.u.


Entry 13:
This record from Alexandria describes a geometry-optimized TcI3Br structure. The functional is PBE.

abc: 6.916 7.783 7.224
angles: 90.00 99.25 90.00
Sites, in units of the cell vectors:
Tc  0.002  0.250  0.002
Tc  0.998  0.750  0.998
I  0.194  0.000  0.830
I  0.194  0.500  0.830
I  0.290  0.250  0.298
I  0.710  0.750  0.702
I  0.806  0.000  0.170
I  0.806  0.500  0.170
Br  0.267  0.750  0.272
Br  0.733  0.250  0.728

Results
The value obtained for the total DFT energy (no corrections) is -3.4450 eV per atom. The value obtained for the uncorrected formation energy is -107 meV/atom. The calculation puts the distance to the lowest polymorph of the same formula at 0.000 eV per atom. As for the total magnetic moment: 2.63 μB/f.u.


Entry 14:
This record from Alexandria describes a geometry-optimized Er2NpScSb4 structure. The functional is PBE.

abc: 7.475 4.319 7.487
angles: 90.00 109.29 90.00
Sites, in units of the cell vectors:
Er  0.000  0.000  0.000
Er  0.500  0.500  0.000
Np  0.000  0.500  0.500
Sc  0.500  0.000  0.500
Sb  0.257  0.000  0.748
Sb  0.259  0.500  0.258
Sb  0.741  0.500  0.742
Sb  0.743  0.000  0.252

Results
The value obtained for the total DFT energy (no corrections) is -6.4205 eV per atom. The value obtained for the uncorrected formation energy is -810 meV/atom. As for the total magnetic moment: 3.89 μB/f.u.


Entry 15:
This record from Alexandria describes a geometry-optimized ZrAl2ZnAg structure. The functional is PBE.

abc: 4.675 4.675 5.366
angles: 90.00 90.00 90.00
Sites, in units of the cell vectors:
Zr  0.000  0.000  0.000
Al  0.000  0.500  0.500
Al  0.500  0.000  0.500
Zn  0.500  0.500  0.000
Ag  0.000  0.000  0.500

Results
The value obtained for the total DFT energy (no corrections) is -3.4420 eV per atom. For the energy of formation from the pure elements, the calculation gives 0.59 eV/atom. As for the total magnetic moment: 0.00 μB/f.u.


Entry 16:
This record from Alexandria describes a geometry-optimized PaNiAg structure. The functional is PBE.

abc: 3.106 3.106 11.437
angles: 90.00 90.00 90.00
Sites, in units of the cell vectors:
Pa  0.000  0.000  0.000
Pa  0.500  0.500  0.500
Ni  0.000  0.000  0.353
Ni  0.500  0.500  0.853
Ag  0.000  0.000  0.708
Ag  0.500  0.500  0.208

Results
The value obtained for the total DFT energy (no corrections) is -6.0747 eV per atom. For the energy of formation from the pure elements, the calculation gives -0.03 eV/atom. The calculation puts the distance to the lowest polymorph of the same formula at 0.000 eV per atom. As for the total magnetic moment: 0.00 μB/f.u.


Entry 17:
This record from Alexandria describes a geometry-optimized MgTiInBr6 structure. The functional is PBE.

abc: 6.896 6.896 7.203
angles: 90.08 90.08 119.98
Sites, in units of the cell vectors:
Mg  0.000  0.000  0.000
Ti  0.666  0.334  0.000
In  0.333  0.667  0.500
Br  0.343  0.044  0.210
Br  0.343  0.297  0.790
Br  0.703  0.046  0.789
Br  0.703  0.657  0.210
Br  0.954  0.297  0.211
Br  0.956  0.657  0.790

Results
The value obtained for the total DFT energy (no corrections) is -3.6237 eV per atom. The value obtained for the uncorrected formation energy is -1150 meV/atom. As for the total magnetic moment: 1.00 μB/f.u.


Entry 18:
This record from Alexandria describes a geometry-optimized Tc2HIrPt structure. The functional is PBE.

abc: 3.902 3.902 4.002
angles: 90.00 90.00 90.00
Sites, in units of the cell vectors:
Tc  0.000  0.500  0.000
Tc  0.500  0.000  0.000
H  0.000  0.000  0.000
Ir  0.000  0.000  0.500
Pt  0.500  0.500  0.500

Results
The value obtained for the total DFT energy (no corrections) is -7.8030 eV per atom. As for the total magnetic moment: 0.00 μB/f.u.


Entry 19:
This record from Alexandria describes a geometry-optimized Tl2CdHg5Au structure. The functional is PBE.

abc: 6.992 6.992 6.992
angles: 116.80 116.80 95.64
Sites, in units of the cell vectors:
Tl  0.000  0.500  0.500
Tl  0.500  0.000  0.500
Cd  0.062  0.062  0.000
Hg  0.017  0.017  0.537
Hg  0.017  0.480  0.000
Hg  0.472  0.472  0.000
Hg  0.480  0.017  0.000
Hg  0.480  0.480  0.463
Au  0.774  0.774  0.000

Results
The value obtained for the total DFT energy (no corrections) is -1.1419 eV per atom. For the energy of formation from the pure elements, the calculation gives 0.02 eV/atom. As for the total magnetic moment: 0.00 μB/f.u.


Entry 20:
This record from Alexandria describes a geometry-optimized Nd5Tl2Si2 structure. The functional is PBE.

abc: 9.103 9.103 7.946
angles: 90.00 90.00 51.33
Sites, in units of the cell vectors:
Nd  0.000  0.000  0.000
Nd  0.063  0.687  0.681
Nd  0.187  0.563  0.181
Nd  0.313  0.937  0.681
Nd  0.437  0.813  0.181
Nd  0.500  0.500  0.500
Nd  0.563  0.187  0.819
Nd  0.687  0.063  0.319
Nd  0.813  0.437  0.819
Nd  0.937  0.313  0.319
Tl  0.222  0.222  0.000
Tl  0.278  0.278  0.500
Tl  0.722  0.722  0.500
Tl  0.778  0.778  0.000
Si  0.111  0.889  0.386
Si  0.389  0.611  0.886
Si  0.611  0.389  0.114
Si  0.889  0.111  0.614

Results
The value obtained for the total DFT energy (no corrections) is -4.8979 eV per atom. The value obtained for the uncorrected formation energy is -518 meV/atom. As for the total magnetic moment: 0.00 μB/f.u.